SrZnS2I | PBE | relaxed

Values from the calculation:
- uncorrected formation energy (eV/f.u.) = 0.949
- raw total energy (eV per atom) = -2.362
- symmetry = P4/mmm (123)
- V (Å³/cell) = 209.0
- magnetic moment (μB per atom) = 0.60

The structure in extended XYZ format:
```
5
Lattice="5.702 0.000 0.000 0.000 6.429 0.000 0.000 0.000 5.702" Properties=species:S:1:pos:R:3 pbc="T T T"
Sr 0.000 0.000 0.000
S 0.000 0.000 2.851
I 2.851 3.214 2.851
S 2.851 0.000 0.000
Zn 0.000 3.214 0.000
```

---

EuLu2Ni | PBE | relaxed

Values from the calculation:
- raw total energy (eV per atom) = -6.458
- symmetry = P4/mmm (123)
- V (Å³/cell) = 103.3
- DFT formation energy (eV per atom) = -0.183
- magnetic moment (μB per atom) = 1.91

The structure in extended XYZ format:
```
4
Lattice="-2.835 -1.674 0.790 1.357 -0.897 2.969 -3.350 7.457 3.784" Properties=species:S:1:pos:R:3 pbc="T T T"
Ni -0.739 -1.286 1.880
Lu -0.583 1.298 0.658
Lu -2.767 6.160 3.126
Eu -2.414 2.443 3.772
```

---

RbErTl4 | PBE | relaxed

Values from the calculation:
- raw total energy (eV per atom) = -2.604
- symmetry = P4/mmm (123)
- V (Å³/cell) = 194.6
- DFT formation energy (eV per atom) = -0.105
- magnetic moment (μB per atom) = 0.00

The structure in extended XYZ format:
```
6
Lattice="-2.782 -1.999 1.798 2.676 -2.345 1.529 1.003 7.861 10.292" Properties=species:S:1:pos:R:3 pbc="T T T"
Er 1.840 2.758 5.910
Tl 2.128 5.027 8.879
Rb -1.391 -1.000 0.899
Tl 1.930 1.718 9.056
Tl -1.033 1.798 4.563
Tl -1.230 -1.510 4.740
```

---

SmTm5Bi5 | PBE | relaxed

Values from the calculation:
- raw total energy (eV per atom) = -4.825
- symmetry = C2/m (12)
- V (Å³/cell) = 360.6
- DFT formation energy (eV per atom) = -0.600
- magnetic moment (μB per atom) = 0.00

The structure in extended XYZ format:
```
11
Lattice="6.246 0.000 0.000 -3.123 6.908 -0.069 0.000 -2.660 8.384" Properties=species:S:1:pos:R:3 pbc="T T T"
Bi 0.000 1.431 2.834
Tm 0.000 2.942 5.514
Bi 3.123 0.000 0.000
Tm 3.123 1.306 2.801
Tm 0.000 4.179 1.379
Bi 0.000 0.183 6.919
Tm 0.000 -1.330 4.192
Sm 0.000 0.000 0.000
Bi 3.123 2.817 5.481
Bi 3.123 4.065 1.396
Tm 3.123 0.069 6.936
```

---

MgSbTe2 | PBE | relaxed

Values from the calculation:
- uncorrected formation energy (eV/f.u.) = -0.265
- raw total energy (eV per atom) = -3.066
- symmetry = Cmmm (65)
- V (Å³/cell) = 119.3
- magnetic moment (μB per atom) = 0.00

The structure in extended XYZ format:
```
4
Lattice="-1.470 3.689 0.493 0.232 -2.178 3.348 7.587 2.847 1.326" Properties=species:S:1:pos:R:3 pbc="T T T"
Sb 5.071 2.890 2.915
Mg 1.278 1.467 2.252
Te 0.131 0.049 0.023
Te 3.663 1.374 0.640
```

---

ReSiMo3 | PBE | relaxed

Values from the calculation:
- uncorrected formation energy (eV/f.u.) = 9.034
- raw total energy (eV per atom) = -8.266
- symmetry = Pm-3m (221)
- V (Å³/cell) = 105.8
- magnetic moment (μB per atom) = 0.19

The structure in extended XYZ format:
```
5
Lattice="-0.592 -1.473 -4.456 -0.420 -4.457 1.529 -4.674 0.587 0.427" Properties=species:S:1:pos:R:3 pbc="T T T"
Re 0.000 0.000 0.000
Si -2.843 -2.671 -1.250
Mo -0.296 -0.736 -2.228
Mo -2.337 0.294 0.214
Mo -0.210 -2.228 0.764
```

---

Co2RuPt | PBE | relaxed

Values from the calculation:
- raw total energy (eV per atom) = -7.287
- symmetry = R3m (160)
- V (Å³/cell) = 52.4
- DFT formation energy (eV per atom) = 0.095
- magnetic moment (μB per atom) = 0.82

The structure in extended XYZ format:
```
4
Lattice="-5.020 -2.591 6.540 -3.719 -4.875 6.091 -2.637 -3.010 7.660" Properties=species:S:1:pos:R:3 pbc="T T T"
Ru -8.467 -7.796 15.101
Co -11.345 -10.447 20.235
Co -2.906 -2.676 5.184
Pt -5.722 -5.269 10.206
```

---

NbNiAu2 | PBE | relaxed

Values from the calculation:
- raw total energy (eV per atom) = -5.197
- symmetry = I-42d (122)
- V (Å³/cell) = 140.9
- DFT formation energy (eV per atom) = 0.404
- magnetic moment (μB per atom) = 0.00

The structure in extended XYZ format:
```
8
Lattice="7.292 0.000 0.000 0.000 7.292 0.000 3.646 3.646 2.649" Properties=species:S:1:pos:R:3 pbc="T T T"
Nb 0.000 0.000 0.000
Ni 3.646 7.292 1.324
Au 9.115 8.936 1.987
Au 5.469 5.648 1.987
Au 2.002 5.469 0.662
Au 5.290 1.823 0.662
Ni 3.646 3.646 0.000
Nb 7.292 3.646 1.324
```